(1)
DFT (PBE) results for crystalline MnPb3N at its relaxed geometry.

```
MnPb3N
1.0
-1.5320 -1.5818 4.5776
1.7381 -4.6609 -1.0289
4.5205 1.2560 1.9469
Pb N Mn
3 1 1
direct
0.0000 0.0000 0.5000
0.5000 0.0000 0.0000
0.0000 0.5000 0.0000
0.5000 0.5000 0.5000
0.0000 0.0000 0.0000
```

Properties
Raw formation energy, eV per atom: 1.17
SG: Pm-3m (221)
Electronic total energy, eV per atom: -4.558

(2)
DFT (PBE) results for crystalline Cr2CuP at its relaxed geometry.

```
Cr2CuP
1.0
4.5971 0.0017 -0.0051
3.5968 2.8629 -0.0051
1.7682 0.6182 3.5697
Cr Cu P
2 1 1
direct
0.0218 0.0218 0.9782
0.4782 0.4782 0.5218
0.2500 0.2500 0.2500
0.7500 0.7500 0.7500
```

Properties
E_form, eV/atom: 0.08
SG: Immm (71)
Electronic total energy, eV per atom: -7.110

(3)
DFT (PBE) results for crystalline AlPtSe2N at its relaxed geometry.

```
AlPtSe2N
1.0
5.2367 0.0000 0.0000
0.0000 5.2367 0.0000
0.0000 0.0000 3.6728
Se N Pt Al
2 1 1 1
direct
0.5000 0.0000 0.0000
0.0000 0.5000 0.0000
0.0000 0.0000 0.5000
0.0000 0.0000 0.0000
0.5000 0.5000 0.5000
```

Properties
Raw formation energy, eV per atom: 0.50
SG: P4/mmm (123)
Electronic total energy, eV per atom: -4.514

| no. | magnetization (μB/f.u.) |
| --- | --- |
| 1 | 2.0 |
| 2 | 0.0 |
| 3 | 0.0 |